# SrCaSb2 (PBE, optimized geometry)
# energy relative to the elements, uncorrected	-65	kJ per mole of atoms
# energy	-3.659	eV/atom
# excess energy over the best structure of this formula in the dataset	146.6	meV/atom
# calculated volume	33.33	Å³/atom
# total magnetic moment	0.0	μB/f.u.
data_SrCaSb2
_cell_length_a 8.7235
_cell_length_b 8.7235
_cell_length_c 7.0086
_cell_angle_alpha 90.00
_cell_angle_beta 90.00
_cell_angle_gamma 90.00
_symmetry_space_group_name_H-M 'I -4 2 d'
_symmetry_Int_Tables_number 122
_symmetry_space_group_name_Hall 'I -4 2bw'
loop_
_atom_site_label
_atom_site_type_symbol
_atom_site_fract_x
_atom_site_fract_y
_atom_site_fract_z
Sr1 Sr 0.0000 0.0000 0.0000
Ca1 Ca 0.0000 0.0000 0.5000
Sb1 Sb 0.2352 0.7500 0.6250

# TbSc2Sn (PBE, optimized geometry)
# energy	-5.787	eV/atom
# excess energy over the best structure of this formula in the dataset	0.0	meV/atom
# calculated volume	26.35	Å³/atom
# total magnetic moment	0.0	μB/f.u.
data_TbSc2Sn
_cell_length_a 4.4017
_cell_length_b 4.4946
_cell_length_c 10.8786
_cell_angle_alpha 90.00
_cell_angle_beta 101.63
_cell_angle_gamma 90.00
_symmetry_space_group_name_H-M 'P 1 21/m 1'
_symmetry_Int_Tables_number 11
_symmetry_space_group_name_Hall '-P 2yb'
loop_
_atom_site_label
_atom_site_type_symbol
_atom_site_fract_x
_atom_site_fract_y
_atom_site_fract_z
Tb1 Tb 0.1892 0.2500 0.3801
Sc1 Sc 0.0546 0.7500 0.1096
Sc2 Sc 0.4395 0.7500 0.8784
Sn1 Sn 0.3413 0.2500 0.6810

# AcBiS2 (PBE, optimized geometry)
# energy relative to the elements, uncorrected	-99	kJ per mole of atoms
# energy	-5.092	eV/atom
# calculated volume	25.61	Å³/atom
# total magnetic moment	0.0	μB/f.u.
data_AcBiS2
_cell_length_a 4.9706
_cell_length_b 4.9706
_cell_length_c 14.3655
_cell_angle_alpha 90.00
_cell_angle_beta 90.00
_cell_angle_gamma 120.00
_symmetry_space_group_name_H-M 'R -3 m'
_symmetry_Int_Tables_number 166
_symmetry_space_group_name_Hall '-R 3 2"'
loop_
_atom_site_label
_atom_site_type_symbol
_atom_site_fract_x
_atom_site_fract_y
_atom_site_fract_z
Ac1 Ac 0.0000 0.0000 0.0000
Bi1 Bi 0.0000 0.0000 0.5000
S1 S 0.0000 0.0000 0.2320